(1)
# PBE SeBrNF2, relaxed
# E above lowest polymorph ... 529.9 meV per atom
# Energy relative to the elements, uncorrected ... 0.85 eV/atom
data_SeBrNF2
_space_group_name_H-M_alt 'P 4/m m m'
_space_group_IT_number 123
_space_group_name_Hall '-P 4 2'
_cell_length_a 4.847
_cell_length_b 4.847
_cell_length_c 3.707
_cell_angle_alpha 90.00
_cell_angle_beta 90.00
_cell_angle_gamma 90.00
loop_
_atom_site_label
_atom_site_type_symbol
_atom_site_fract_x
_atom_site_fract_y
_atom_site_fract_z
_atom_site_occupancy
Se1 Se 0.000 0.000 0.000 1
Br1 Br 0.500 0.500 0.500 1
N1 N 0.500 0.500 0.000 1
F1 F 0.000 0.500 0.500 1


(2)
# PBE AgP2Pb2, relaxed
# E above lowest polymorph ... 87.2 meV per atom
# Calculated formation energy ... 0.295 eV per atom
data_AgP2Pb2
_space_group_name_H-M_alt 'P 4/m b m'
_space_group_IT_number 127
_space_group_name_Hall '-P 4 2ab'
_cell_length_a 7.690
_cell_length_b 7.690
_cell_length_c 3.987
_cell_angle_alpha 90.00
_cell_angle_beta 90.00
_cell_angle_gamma 90.00
loop_
_atom_site_label
_atom_site_type_symbol
_atom_site_fract_x
_atom_site_fract_y
_atom_site_fract_z
_atom_site_occupancy
Ag1 Ag 0.000 0.000 0.000 1
P1 P 0.169 0.331 0.000 1
Pb1 Pb 0.151 0.651 0.500 1


(3)
# PBE InPtCl2, relaxed
# E above lowest polymorph ... 0.0 meV per atom
# Energy relative to the elements, uncorrected ... -0.44 eV/atom
data_InPtCl2
_space_group_name_H-M_alt 'A m m 2'
_space_group_IT_number 38
_cell_length_a 4.025
_cell_length_b 4.942
_cell_length_c 9.554
_cell_angle_alpha 90.00
_cell_angle_beta 90.00
_cell_angle_gamma 90.00
loop_
_space_group_symop_operation_xyz
'x,y,z'
'-x,-y,z'
'-x,y,z'
'x,-y,z'
'x,y+1/2,z+1/2'
'-x,-y+1/2,z+1/2'
'-x,y+1/2,z+1/2'
'x,-y+1/2,z+1/2'
loop_
_atom_site_label
_atom_site_type_symbol
_atom_site_fract_x
_atom_site_fract_y
_atom_site_fract_z
_atom_site_occupancy
In1 In 0.000 0.000 0.000 1
Pt1 Pt 0.500 0.000 0.177 1
Cl1 Cl 0.000 0.000 0.372 1
Cl2 Cl 0.500 0.000 0.699 1


(4)
# PBE LaCdF3, relaxed
# E above lowest polymorph ... 0.0 meV per atom
# Energy relative to the elements, uncorrected ... -3.08 eV/atom
data_LaCdF3
_space_group_name_H-M_alt 'P m -3 m'
_space_group_IT_number 221
_space_group_name_Hall '-P 4 2 3'
_cell_length_a 4.760
_cell_length_b 4.760
_cell_length_c 4.760
_cell_angle_alpha 90.00
_cell_angle_beta 90.00
_cell_angle_gamma 90.00
loop_
_atom_site_label
_atom_site_type_symbol
_atom_site_fract_x
_atom_site_fract_y
_atom_site_fract_z
_atom_site_occupancy
La1 La 0.000 0.000 0.000 1
Cd1 Cd 0.500 0.500 0.500 1
F1 F 0.000 0.000 0.500 1


(5)
# PBE BaNiSnMo2, relaxed
# Calculated formation energy ... 1.899 eV per atom
data_BaNiSnMo2
_space_group_name_H-M_alt 'P 4/m m m'
_space_group_IT_number 123
_space_group_name_Hall '-P 4 2'
_cell_length_a 5.196
_cell_length_b 5.196
_cell_length_c 6.411
_cell_angle_alpha 90.00
_cell_angle_beta 90.00
_cell_angle_gamma 90.00
loop_
_atom_site_label
_atom_site_type_symbol
_atom_site_fract_x
_atom_site_fract_y
_atom_site_fract_z
_atom_site_occupancy
Ba1 Ba 0.000 0.000 0.000 1
Ni1 Ni 0.500 0.500 0.000 1
Sn1 Sn 0.000 0.000 0.500 1
Mo1 Mo 0.000 0.500 0.500 1


(6)
# PBE NdCu3Ni, relaxed
# E above lowest polymorph ... 272.4 meV per atom
# Calculated formation energy ... 0.148 eV per atom
data_NdCu3Ni
_space_group_name_H-M_alt 'I -4 m 2'
_space_group_IT_number 119
_space_group_name_Hall 'I -4 -2'
_cell_length_a 4.944
_cell_length_b 4.944
_cell_length_c 15.699
_cell_angle_alpha 90.00
_cell_angle_beta 90.00
_cell_angle_gamma 90.00
loop_
_atom_site_label
_atom_site_type_symbol
_atom_site_fract_x
_atom_site_fract_y
_atom_site_fract_z
_atom_site_occupancy
Nd1 Nd 0.000 0.000 0.169 1
Cu1 Cu 0.000 0.245 0.622 1
Cu2 Cu 0.000 0.500 0.027 1
Ni1 Ni 0.000 0.000 0.500 1
Ni2 Ni 0.000 0.500 0.750 1


(7)
# PBE Ho3ZrHg6, relaxed
# Calculated formation energy ... -0.324 eV per atom
data_Ho3ZrHg6
_space_group_name_H-M_alt 'P 1 21/m 1'
_space_group_IT_number 11
_cell_length_a 8.956
_cell_length_b 5.127
_cell_length_c 11.065
_cell_angle_alpha 90.00
_cell_angle_beta 108.78
_cell_angle_gamma 90.00
loop_
_space_group_symop_operation_xyz
'x,y,z'
'-x,-y,-z'
'-x,y+1/2,-z'
'x,-y+1/2,z'
loop_
_atom_site_label
_atom_site_type_symbol
_atom_site_fract_x
_atom_site_fract_y
_atom_site_fract_z
_atom_site_occupancy
Ho1 Ho 0.028 0.250 0.386 1
Ho2 Ho 0.151 0.750 0.215 1
Ho3 Ho 0.272 0.250 0.989 1
Zr1 Zr 0.443 0.250 0.589 1
Hg1 Hg 0.026 0.750 0.914 1
Hg2 Hg 0.161 0.250 0.691 1
Hg3 Hg 0.259 0.750 0.510 1
Hg4 Hg 0.347 0.750 0.826 1
Hg5 Hg 0.358 0.250 0.304 1
Hg6 Hg 0.443 0.750 0.126 1


(8)
# PBE AcZn8Ir4, relaxed
# Calculated formation energy ... -0.302 eV per atom
data_AcZn8Ir4
_space_group_name_H-M_alt 'I 4/m m m'
_space_group_IT_number 139
_space_group_name_Hall '-I 4 2'
_cell_length_a 8.765
_cell_length_b 8.765
_cell_length_c 5.626
_cell_angle_alpha 90.00
_cell_angle_beta 90.00
_cell_angle_gamma 90.00
loop_
_atom_site_label
_atom_site_type_symbol
_atom_site_fract_x
_atom_site_fract_y
_atom_site_fract_z
_atom_site_occupancy
Ac1 Ac 0.000 0.000 0.000 1
Zn1 Zn 0.000 0.233 0.500 1
Zn2 Zn 0.000 0.346 0.000 1
Ir1 Ir 0.250 0.250 0.250 1


(9)
# PBE Pa2FePb, relaxed
# E above lowest polymorph ... 33.7 meV per atom
# Calculated formation energy ... -0.035 eV per atom
data_Pa2FePb
_space_group_name_H-M_alt 'R -3 m'
_space_group_IT_number 166
_space_group_name_Hall '-R 3 2"'
_cell_length_a 3.7376
_cell_length_b 3.7376
_cell_length_c 24.7115
_cell_angle_alpha 90.00
_cell_angle_beta 90.00
_cell_angle_gamma 120.00
loop_
_atom_site_label
_atom_site_type_symbol
_atom_site_fract_x
_atom_site_fract_y
_atom_site_fract_z
_atom_site_occupancy
Pa1 Pa 0.0000 0.0000 0.2267 1
Fe1 Fe 0.0000 0.0000 0.5000 1
Pb1 Pb 0.0000 0.0000 0.0000 1


(10)
# PBE La3Sc2Bi4, relaxed
# Calculated formation energy ... -0.779 eV per atom
data_La3Sc2Bi4
_space_group_name_H-M_alt 'C 1 2/m 1'
_space_group_IT_number 12
_cell_length_a 15.098
_cell_length_b 4.621
_cell_length_c 10.089
_cell_angle_alpha 90.00
_cell_angle_beta 123.70
_cell_angle_gamma 90.00
loop_
_space_group_symop_operation_xyz
'x,y,z'
'-x,-y,-z'
'-x,y,-z'
'x,-y,z'
'x+1/2,y+1/2,z'
'-x+1/2,-y+1/2,-z'
'-x+1/2,y+1/2,-z'
'x+1/2,-y+1/2,z'
loop_
_atom_site_label
_atom_site_type_symbol
_atom_site_fract_x
_atom_site_fract_y
_atom_site_fract_z
_atom_site_occupancy
La1 La 0.000 0.000 0.000 1
La2 La 0.137 0.500 0.720 1
Sc1 Sc 0.185 0.500 0.371 1
Bi1 Bi 0.069 0.000 0.397 1
Bi2 Bi 0.177 0.500 0.077 1


(11)
# PBE InCoB2, relaxed
# Calculated formation energy ... 0.324 eV per atom
data_InCoB2
_space_group_name_H-M_alt 'I 41/a m d'
_space_group_IT_number 141
_cell_length_a 3.687
_cell_length_b 3.687
_cell_length_c 14.233
_cell_angle_alpha 90.00
_cell_angle_beta 90.00
_cell_angle_gamma 90.00
loop_
_space_group_symop_operation_xyz
'x,y,z'
'-x,-y,-z'
'-y+1/4,x+3/4,z+1/4'
'y+1/4,-x+3/4,-z+1/4'
'-x+1/2,-y,z+1/2'
'x+1/2,y,-z+1/2'
'y+1/4,-x+1/4,z+3/4'
'-y+1/4,x+1/4,-z+3/4'
'x,-y,-z'
'-x,y,z'
'-y+1/4,-x+1/4,-z+3/4'
'y+1/4,x+1/4,z+3/4'
'-x+1/2,y,-z+1/2'
'x+1/2,-y,z+1/2'
'y+1/4,x+3/4,-z+1/4'
'-y+1/4,-x+3/4,z+1/4'
'x+1/2,y+1/2,z+1/2'
'-x+1/2,-y+1/2,-z+1/2'
'-y+3/4,x+1/4,z+3/4'
'y+3/4,-x+1/4,-z+3/4'
'-x,-y+1/2,z'
'x,y+1/2,-z'
'y+3/4,-x+3/4,z+1/4'
'-y+3/4,x+3/4,-z+1/4'
'x+1/2,-y+1/2,-z+1/2'
'-x+1/2,y+1/2,z+1/2'
'-y+3/4,-x+3/4,-z+1/4'
'y+3/4,x+3/4,z+1/4'
'-x,y+1/2,-z'
'x,-y+1/2,z'
'y+3/4,x+1/4,-z+3/4'
'-y+3/4,-x+1/4,z+3/4'
loop_
_atom_site_label
_atom_site_type_symbol
_atom_site_fract_x
_atom_site_fract_y
_atom_site_fract_z
_atom_site_occupancy
In1 In 0.000 0.250 0.375 1
Co1 Co 0.000 0.250 0.875 1
B1 B 0.000 0.000 0.000 1


(12)
# PBE NdEu2Bi, relaxed
# Calculated formation energy ... -0.424 eV per atom
data_NdEu2Bi
_space_group_name_H-M_alt 'P 4/m m m'
_space_group_IT_number 123
_space_group_name_Hall '-P 4 2'
_cell_length_a 5.030
_cell_length_b 5.030
_cell_length_c 5.242
_cell_angle_alpha 90.00
_cell_angle_beta 90.00
_cell_angle_gamma 90.00
loop_
_atom_site_label
_atom_site_type_symbol
_atom_site_fract_x
_atom_site_fract_y
_atom_site_fract_z
_atom_site_occupancy
Nd1 Nd 0.000 0.000 0.000 1
Eu1 Eu 0.000 0.500 0.500 1
Bi1 Bi 0.500 0.500 0.000 1